Record 1
Entry from the Alexandria database: crystalline CdFe2RuC at its relaxed geometry (PBE).

Results
magnetic moment	0.827	μB per atom
energy relative to the elements	0.17	eV/atom
calculated total energy	-35.51	eV per cell

Geometry as CIF:
```
data_CdFe2RuC
_cell_length_a 3.939
_cell_length_b 3.939
_cell_length_c 4.064
_cell_angle_alpha 90.00
_cell_angle_beta 90.00
_cell_angle_gamma 90.00
_space_group_name_H-M_alt 'P 4/m m m'
_space_group_IT_number 123
_space_group_name_Hall '-P 4 2'
loop_
_atom_site_label
_atom_site_fract_x
_atom_site_fract_y
_atom_site_fract_z
Cd1 0.000 0.000 0.000
Fe1 0.000 0.500 0.500
Ru1 0.500 0.500 0.000
C1 0.500 0.500 0.500
```

Record 2
Entry from the Alexandria database: crystalline Sc2CdFeC at its relaxed geometry (PBE).

Results
magnetic moment	0.000	μB per atom
energy relative to the elements	-0.38	eV/atom
calculated total energy	-33.18	eV per cell

Geometry as CIF:
```
data_Sc2CdFeC
_cell_length_a 4.647
_cell_length_b 4.647
_cell_length_c 3.693
_cell_angle_alpha 90.00
_cell_angle_beta 90.00
_cell_angle_gamma 90.00
_space_group_name_H-M_alt 'P 4/m m m'
_space_group_IT_number 123
_space_group_name_Hall '-P 4 2'
loop_
_atom_site_label
_atom_site_fract_x
_atom_site_fract_y
_atom_site_fract_z
Sc1 0.000 0.500 0.000
Cd1 0.000 0.000 0.500
Fe1 0.500 0.500 0.500
C1 0.500 0.500 0.000
```

Record 3
Entry from the Alexandria database: crystalline SmCdFeC at its relaxed geometry (PBE).

Results
magnetic moment	0.000	μB per atom
energy relative to the elements	0.00	eV/atom
calculated total energy	-46.61	eV per cell

Geometry as CIF:
```
data_SmCdFeC
_cell_length_a 3.664
_cell_length_b 3.664
_cell_length_c 10.443
_cell_angle_alpha 90.00
_cell_angle_beta 90.00
_cell_angle_gamma 90.00
_space_group_name_H-M_alt 'P 4/n m m'
_space_group_IT_number 129
loop_
_space_group_symop_operation_xyz
'x,y,z'
'-x,-y,-z'
'-y+1/2,x,z'
'y+1/2,-x,-z'
'-x+1/2,-y+1/2,z'
'x+1/2,y+1/2,-z'
'y,-x+1/2,z'
'-y,x+1/2,-z'
'x+1/2,-y,-z'
'-x+1/2,y,z'
'-y,-x,-z'
'y,x,z'
'-x,y+1/2,-z'
'x,-y+1/2,z'
'y+1/2,x+1/2,-z'
'-y+1/2,-x+1/2,z'
loop_
_atom_site_label
_atom_site_fract_x
_atom_site_fract_y
_atom_site_fract_z
Sm1 0.250 0.250 0.211
Cd1 0.250 0.750 0.500
Fe1 0.250 0.750 0.000
C1 0.250 0.250 0.920
```

Record 4
Entry from the Alexandria database: crystalline Sm2CdFeC at its relaxed geometry (PBE).

Results
magnetic moment	0.061	μB per atom
energy relative to the elements	-0.23	eV/atom
calculated total energy	-29.20	eV per cell

Geometry as CIF:
```
data_Sm2CdFeC
_cell_length_a 5.206
_cell_length_b 5.206
_cell_length_c 3.719
_cell_angle_alpha 90.00
_cell_angle_beta 90.00
_cell_angle_gamma 90.00
_space_group_name_H-M_alt 'P 4/m m m'
_space_group_IT_number 123
_space_group_name_Hall '-P 4 2'
loop_
_atom_site_label
_atom_site_fract_x
_atom_site_fract_y
_atom_site_fract_z
Sm1 0.000 0.500 0.000
Cd1 0.000 0.000 0.500
Fe1 0.500 0.500 0.500
C1 0.500 0.500 0.000
```

Record 5
Entry from the Alexandria database: crystalline Sr2CdFeC at its relaxed geometry (PBE).

Results
magnetic moment	0.514	μB per atom
energy relative to the elements	1.22	eV/atom
calculated total energy	-15.88	eV per cell

Geometry as CIF:
```
data_Sr2CdFeC
_cell_length_a 6.193
_cell_length_b 6.193
_cell_length_c 3.974
_cell_angle_alpha 90.00
_cell_angle_beta 90.00
_cell_angle_gamma 90.00
_space_group_name_H-M_alt 'P 4/m m m'
_space_group_IT_number 123
_space_group_name_Hall '-P 4 2'
loop_
_atom_site_label
_atom_site_fract_x
_atom_site_fract_y
_atom_site_fract_z
Sr1 0.000 0.500 0.000
Cd1 0.000 0.000 0.000
Fe1 0.500 0.500 0.500
C1 0.000 0.000 0.500
```

Record 6
Entry from the Alexandria database: crystalline TbCdFeC at its relaxed geometry (PBE).

Results
magnetic moment	0.000	μB per atom
energy relative to the elements	0.01	eV/atom
calculated total energy	-46.41	eV per cell

Geometry as CIF:
```
data_TbCdFeC
_cell_length_a 3.655
_cell_length_b 3.655
_cell_length_c 10.187
_cell_angle_alpha 90.00
_cell_angle_beta 90.00
_cell_angle_gamma 90.00
_space_group_name_H-M_alt 'P 4/n m m'
_space_group_IT_number 129
loop_
_space_group_symop_operation_xyz
'x,y,z'
'-x,-y,-z'
'-y+1/2,x,z'
'y+1/2,-x,-z'
'-x+1/2,-y+1/2,z'
'x+1/2,y+1/2,-z'
'y,-x+1/2,z'
'-y,x+1/2,-z'
'x+1/2,-y,-z'
'-x+1/2,y,z'
'-y,-x,-z'
'y,x,z'
'-x,y+1/2,-z'
'x,-y+1/2,z'
'y+1/2,x+1/2,-z'
'-y+1/2,-x+1/2,z'
loop_
_atom_site_label
_atom_site_fract_x
_atom_site_fract_y
_atom_site_fract_z
Tb1 0.250 0.250 0.210
Cd1 0.250 0.750 0.500
Fe1 0.250 0.750 0.000
C1 0.250 0.250 0.916
```

Record 7
Entry from the Alexandria database: crystalline TlCdFeC2 at its relaxed geometry (PBE).

Results
magnetic moment	0.000	μB per atom
energy relative to the elements	1.39	eV/atom
calculated total energy	-23.26	eV per cell

Geometry as CIF:
```
data_TlCdFeC2
_cell_length_a 3.798
_cell_length_b 3.798
_cell_length_c 5.789
_cell_angle_alpha 90.00
_cell_angle_beta 90.00
_cell_angle_gamma 90.00
_space_group_name_H-M_alt 'P 4/m m m'
_space_group_IT_number 123
_space_group_name_Hall '-P 4 2'
loop_
_atom_site_label
_atom_site_fract_x
_atom_site_fract_y
_atom_site_fract_z
Tl1 0.000 0.000 0.000
Cd1 0.500 0.500 0.000
Fe1 0.000 0.000 0.500
C1 0.000 0.500 0.500
```

Record 8
Entry from the Alexandria database: crystalline Tl2CdFeC at its relaxed geometry (PBE).

Results
magnetic moment	0.748	μB per atom
energy relative to the elements	1.61	eV/atom
calculated total energy	-15.28	eV per cell

Geometry as CIF:
```
data_Tl2CdFeC
_cell_length_a 5.082
_cell_length_b 5.082
_cell_length_c 5.111
_cell_angle_alpha 90.00
_cell_angle_beta 90.00
_cell_angle_gamma 90.00
_space_group_name_H-M_alt 'P 4/m m m'
_space_group_IT_number 123
_space_group_name_Hall '-P 4 2'
loop_
_atom_site_label
_atom_site_fract_x
_atom_site_fract_y
_atom_site_fract_z
Tl1 0.000 0.500 0.000
Cd1 0.000 0.000 0.500
Fe1 0.000 0.000 0.000
C1 0.500 0.500 0.500
```